No. 1
MgAgSn | GGA-PBE | optimized geometry

```
data_MgAgSn
_chemical_formula_sum 'Mg2 Ag2 Sn2'
_cell_length_a 3.407
_cell_length_b 3.407
_cell_length_c 11.260
_cell_angle_alpha 90.00
_cell_angle_beta 90.00
_cell_angle_gamma 90.00
_space_group_name_H-M_alt 'I 4 m m'
_space_group_IT_number 107
_space_group_name_Hall 'I 4 -2'
loop_
_atom_site_label
_atom_site_type_symbol
_atom_site_fract_x
_atom_site_fract_y
_atom_site_fract_z
_atom_site_occupancy
Mg1 Mg 0.000 0.000 0.000 1
Ag1 Ag 0.000 0.000 0.640 1
Sn1 Sn 0.000 0.000 0.312 1
```

Results
Formation energy, meV/atom: -79
Density of states at the Fermi level, states/eV per atom: 0.2283

No. 2
CeDyGe2Pt5 | GGA-PBE | optimized geometry

```
data_CeDyGe2Pt5
_chemical_formula_sum 'Ce1 Dy1 Ge2 Pt5'
_cell_length_a 4.275
_cell_length_b 4.275
_cell_length_c 9.130
_cell_angle_alpha 90.00
_cell_angle_beta 90.00
_cell_angle_gamma 90.00
_space_group_name_H-M_alt 'P 4/m m m'
_space_group_IT_number 123
_space_group_name_Hall '-P 4 2'
loop_
_atom_site_label
_atom_site_type_symbol
_atom_site_fract_x
_atom_site_fract_y
_atom_site_fract_z
_atom_site_occupancy
Ce1 Ce 0.000 0.000 0.000 1
Dy1 Dy 0.000 0.000 0.500 1
Ge1 Ge 0.500 0.500 0.367 1
Pt1 Pt 0.000 0.500 0.227 1
Pt2 Pt 0.500 0.500 0.000 1
```

Results
Formation energy, meV/atom: -881
Density of states at the Fermi level, states/eV per atom: 0.7889

No. 3
Ac6CoCu2Br3 | GGA-PBE | optimized geometry

```
data_Ac6CoCu2Br3
_chemical_formula_sum 'Ac12 Co2 Cu4 Br6'
_cell_length_a 7.623
_cell_length_b 13.196
_cell_length_c 8.532
_cell_angle_alpha 90.00
_cell_angle_beta 107.36
_cell_angle_gamma 90.00
_space_group_name_H-M_alt 'C 1 2/m 1'
_space_group_IT_number 12
loop_
_space_group_symop_operation_xyz
'x,y,z'
'-x,-y,-z'
'-x,y,-z'
'x,-y,z'
'x+1/2,y+1/2,z'
'-x+1/2,-y+1/2,-z'
'-x+1/2,y+1/2,-z'
'x+1/2,-y+1/2,z'
loop_
_atom_site_label
_atom_site_type_symbol
_atom_site_fract_x
_atom_site_fract_y
_atom_site_fract_z
_atom_site_occupancy
Ac1 Ac 0.224 0.158 0.197 1
Ac2 Ac 0.250 0.000 0.803 1
Co1 Co 0.000 0.000 0.000 1
Cu1 Cu 0.000 0.333 0.000 1
Br1 Br 0.000 0.166 0.500 1
Br2 Br 0.000 0.500 0.500 1
```

Results
Density of states at the Fermi level, states/eV per atom: 0.7290
Raw total energy, eV per atom: -4.46

No. 4
ZnIn4Hg2 | GGA-PBE | optimized geometry

```
data_ZnIn4Hg2
_chemical_formula_sum 'Zn2 In8 Hg4'
_cell_length_a 13.894
_cell_length_b 3.957
_cell_length_c 7.281
_cell_angle_alpha 90.00
_cell_angle_beta 114.82
_cell_angle_gamma 90.00
_space_group_name_H-M_alt 'C 1 2/m 1'
_space_group_IT_number 12
loop_
_space_group_symop_operation_xyz
'x,y,z'
'-x,-y,-z'
'-x,y,-z'
'x,-y,z'
'x+1/2,y+1/2,z'
'-x+1/2,-y+1/2,-z'
'-x+1/2,y+1/2,-z'
'x+1/2,-y+1/2,z'
loop_
_atom_site_label
_atom_site_type_symbol
_atom_site_fract_x
_atom_site_fract_y
_atom_site_fract_z
_atom_site_occupancy
Zn1 Zn 0.000 0.000 0.000 1
In1 In 0.048 0.500 0.756 1
In2 In 0.147 0.000 0.497 1
Hg1 Hg 0.216 0.000 0.137 1
```

Results
Formation energy, meV/atom: 55
Density of states at the Fermi level, states/eV per atom: 0.3866
Relative energy among the computed polymorphs, eV/atom: 0.0000

No. 5
AlPbAu3 | GGA-PBE | optimized geometry

```
data_AlPbAu3
_chemical_formula_sum 'Al1 Pb1 Au3'
_cell_length_a 5.349
_cell_length_b 5.349
_cell_length_c 5.349
_cell_angle_alpha 90.00
_cell_angle_beta 90.00
_cell_angle_gamma 90.00
_space_group_name_H-M_alt 'P m -3 m'
_space_group_IT_number 221
_space_group_name_Hall '-P 4 2 3'
loop_
_atom_site_label
_atom_site_type_symbol
_atom_site_fract_x
_atom_site_fract_y
_atom_site_fract_z
_atom_site_occupancy
Al1 Al 0.000 0.000 0.000 1
Pb1 Pb 0.500 0.500 0.500 1
Au1 Au 0.000 0.500 0.500 1
```

Results
Formation energy, meV/atom: 672
Density of states at the Fermi level, states/eV per atom: 0.2012
Relative energy among the computed polymorphs, eV/atom: 0.8769

No. 6
Nd2Th2Mg | GGA-PBE | optimized geometry

```
data_Nd2Th2Mg
_chemical_formula_sum 'Nd4 Th4 Mg2'
_cell_length_a 3.628
_cell_length_b 3.628
_cell_length_c 24.039
_cell_angle_alpha 90.00
_cell_angle_beta 90.00
_cell_angle_gamma 90.00
_space_group_name_H-M_alt 'I 4/m m m'
_space_group_IT_number 139
_space_group_name_Hall '-I 4 2'
loop_
_atom_site_label
_atom_site_type_symbol
_atom_site_fract_x
_atom_site_fract_y
_atom_site_fract_z
_atom_site_occupancy
Nd1 Nd 0.000 0.000 0.095 1
Th1 Th 0.000 0.000 0.300 1
Mg1 Mg 0.000 0.000 0.500 1
```

Results
Formation energy, meV/atom: -32
Density of states at the Fermi level, states/eV per atom: 1.3141

No. 7
LiCdP2Cl | GGA-PBE | optimized geometry

```
data_LiCdP2Cl
_chemical_formula_sum 'Li1 Cd1 P2 Cl1'
_cell_length_a 4.968
_cell_length_b 4.968
_cell_length_c 5.740
_cell_angle_alpha 90.00
_cell_angle_beta 90.00
_cell_angle_gamma 90.00
_space_group_name_H-M_alt 'P 4/m m m'
_space_group_IT_number 123
_space_group_name_Hall '-P 4 2'
loop_
_atom_site_label
_atom_site_type_symbol
_atom_site_fract_x
_atom_site_fract_y
_atom_site_fract_z
_atom_site_occupancy
Li1 Li 0.000 0.000 0.000 1
Cd1 Cd 0.500 0.500 0.500 1
P1 P 0.000 0.500 0.500 1
Cl1 Cl 0.500 0.500 0.000 1
```

Results
Density of states at the Fermi level, states/eV per atom: 0.4726
Relative energy among the computed polymorphs, eV/atom: 0.0042

No. 8
LaCoGe | GGA-PBE | optimized geometry

```
data_LaCoGe
_chemical_formula_sum 'La2 Co2 Ge2'
_cell_length_a 4.091
_cell_length_b 5.617
_cell_length_c 5.888
_cell_angle_alpha 96.30
_cell_angle_beta 105.33
_cell_angle_gamma 106.07
_space_group_name_H-M_alt 'P -1'
_space_group_IT_number 2
loop_
_space_group_symop_operation_xyz
'x,y,z'
'-x,-y,-z'
loop_
_atom_site_label
_atom_site_type_symbol
_atom_site_fract_x
_atom_site_fract_y
_atom_site_fract_z
_atom_site_occupancy
La1 La 0.210 0.301 0.191 1
Co1 Co 0.049 0.716 0.413 1
Ge1 Ge 0.423 0.115 0.700 1
```

Results
Formation energy, meV/atom: -487
Density of states at the Fermi level, states/eV per atom: 0.9333

No. 9
PuTh2Te | GGA-PBE | optimized geometry

```
data_PuTh2Te
_chemical_formula_sum 'Pu1 Th2 Te1'
_cell_length_a 5.032
_cell_length_b 5.032
_cell_length_c 4.419
_cell_angle_alpha 90.00
_cell_angle_beta 90.00
_cell_angle_gamma 90.00
_space_group_name_H-M_alt 'P 4/m m m'
_space_group_IT_number 123
_space_group_name_Hall '-P 4 2'
loop_
_atom_site_label
_atom_site_type_symbol
_atom_site_fract_x
_atom_site_fract_y
_atom_site_fract_z
_atom_site_occupancy
Pu1 Pu 0.000 0.000 0.000 1
Th1 Th 0.000 0.500 0.500 1
Te1 Te 0.500 0.500 0.000 1
```

Results
Density of states at the Fermi level, states/eV per atom: 1.6748
Relative energy among the computed polymorphs, eV/atom: 0.0000

No. 10
YCr2Fe | GGA-PBE | optimized geometry

```
data_YCr2Fe
_chemical_formula_sum 'Y2 Cr4 Fe2'
_cell_length_a 3.011
_cell_length_b 4.369
_cell_length_c 9.070
_cell_angle_alpha 90.00
_cell_angle_beta 90.00
_cell_angle_gamma 90.00
_space_group_name_H-M_alt 'I m m m'
_space_group_IT_number 71
_space_group_name_Hall '-I 2 2'
loop_
_atom_site_label
_atom_site_type_symbol
_atom_site_fract_x
_atom_site_fract_y
_atom_site_fract_z
_atom_site_occupancy
Y1 Y 0.000 0.000 0.000 1
Cr1 Cr 0.000 0.500 0.229 1
Fe1 Fe 0.000 0.000 0.500 1
```

Results
Formation energy, meV/atom: 591
Density of states at the Fermi level, states/eV per atom: 1.3238
Relative energy among the computed polymorphs, eV/atom: 0.2969

No. 11
K2BPCl | GGA-PBE | optimized geometry

```
data_K2BPCl
_chemical_formula_sum 'K2 B1 P1 Cl1'
_cell_length_a 6.022
_cell_length_b 6.022
_cell_length_c 3.626
_cell_angle_alpha 90.00
_cell_angle_beta 90.00
_cell_angle_gamma 90.00
_space_group_name_H-M_alt 'P 4/m m m'
_space_group_IT_number 123
_space_group_name_Hall '-P 4 2'
loop_
_atom_site_label
_atom_site_type_symbol
_atom_site_fract_x
_atom_site_fract_y
_atom_site_fract_z
_atom_site_occupancy
K1 K 0.000 0.500 0.000 1
B1 B 0.000 0.000 0.000 1
P1 P 0.000 0.000 0.500 1
Cl1 Cl 0.500 0.500 0.500 1
```

Results
Density of states at the Fermi level, states/eV per atom: 0.3023
Raw total energy, eV per atom: -3.73

No. 12
CuAg2GeSe4 | GGA-PBE | optimized geometry

```
data_CuAg2GeSe4
_chemical_formula_sum 'Cu2 Ag4 Ge2 Se8'
_cell_length_a 5.942
_cell_length_b 5.942
_cell_length_c 11.277
_cell_angle_alpha 90.00
_cell_angle_beta 90.00
_cell_angle_gamma 90.00
_space_group_name_H-M_alt 'I -4'
_space_group_IT_number 82
loop_
_space_group_symop_operation_xyz
'x,y,z'
'y,-x,-z'
'-x,-y,z'
'-y,x,-z'
'x+1/2,y+1/2,z+1/2'
'y+1/2,-x+1/2,-z+1/2'
'-x+1/2,-y+1/2,z+1/2'
'-y+1/2,x+1/2,-z+1/2'
loop_
_atom_site_label
_atom_site_type_symbol
_atom_site_fract_x
_atom_site_fract_y
_atom_site_fract_z
_atom_site_occupancy
Cu1 Cu 0.000 0.000 0.000 1
Ag1 Ag 0.000 0.000 0.500 1
Ag2 Ag 0.000 0.500 0.750 1
Ge1 Ge 0.000 0.500 0.250 1
Se1 Se 0.218 0.250 0.124 1
```

Results
Density of states at the Fermi level, states/eV per atom: 0.8600
Raw total energy, eV per atom: -3.73